# 1
Below is crystalline PrCuSb2O8 at its relaxed geometry, with properties calculated at the PBE level.

Summary:
The value obtained for the magnetization is 0.0 μB/cell. Its space group is P2/m. Its raw formation energy is -1.48 eV per atom. The theoretical density comes out at 5882 kg/m³. As for the calculated volume: 13.55 A^3/atom.

Structure (POSCAR):
```
PrCuSb2O8
1.0
5.0763 0.0000 0.0000
0.0000 6.3415 0.0000
-0.5639 0.0000 5.0512
Pr Cu Sb O
1 1 2 8
Direct
0.0000 0.0000 0.0000
0.0000 0.5000 0.0000
0.5000 0.2657 0.5000
0.5000 0.7343 0.5000
0.2042 0.2841 0.2024
0.2042 0.7159 0.2024
0.3193 0.5000 0.6786
0.3330 0.0000 0.6654
0.6670 0.0000 0.3346
0.6807 0.5000 0.3214
0.7958 0.2841 0.7976
0.7958 0.7159 0.7976
```

***

# 2
Below is crystalline NdTmScZn at its relaxed geometry, with properties calculated at the PBE level.

Summary:
The value obtained for the magnetization is 0.0 μB/cell. The calculation puts the formation energy at -15 kJ/mol of atoms. Its space group is P4mm. The theoretical density comes out at 6847 kg/m³. As for the calculated volume: 25.68 A^3/atom.

Structure (POSCAR):
```
NdTmScZn
1.0
3.4684 0.0000 0.0000
0.0000 3.4684 0.0000
0.0000 0.0000 8.5382
Nd Tm Sc Zn
1 1 1 1
Direct
0.0000 0.0000 0.0000
0.5000 0.5000 0.6883
0.5000 0.5000 0.2917
0.0000 0.0000 0.4716
```

***

# 3
Below is crystalline BPt4Au at its relaxed geometry, with properties calculated at the PBE level.

Summary:
The value obtained for the magnetization is 0.0 μB/cell. The calculation puts the formation energy at -4 kJ/mol of atoms. Its space group is C2/m. The theoretical density comes out at 18322 kg/m³. As for the calculated volume: 14.93 A^3/atom.

Structure (POSCAR):
```
BPt4Au
1.0
6.8620 -2.8086 0.0000
6.8620 2.8086 0.0000
-1.8074 0.0000 4.6467
B Pt Au
2 8 2
Direct
0.9996 0.9996 0.1846
0.0004 0.0004 0.8154
0.1422 0.6315 0.8866
0.1950 0.1950 0.6955
0.2548 0.7452 0.5000
0.3685 0.8578 0.1134
0.6315 0.1422 0.8866
0.7452 0.2548 0.5000
0.8050 0.8050 0.3045
0.8578 0.3685 0.1134
0.3061 0.3061 0.3059
0.6939 0.6939 0.6941
```

***

# 4
Below is crystalline BaMn2Cl at its relaxed geometry, with properties calculated at the PBE level.

Summary:
The value obtained for the magnetization is 8.4 μB/cell. Its space group is Immm. Its raw formation energy is 0.08 eV per atom. The theoretical density comes out at 4379 kg/m³. As for the calculated volume: 26.80 A^3/atom.

Structure (POSCAR):
```
BaMn2Cl
1.0
-1.7589 2.4663 6.1775
1.7589 -2.4663 6.1775
1.7589 2.4663 -6.1775
Ba Mn Cl
1 2 1
Direct
0.0000 0.0000 0.0000
0.2597 0.7597 0.5000
0.7403 0.2403 0.5000
0.5000 0.5000 0.0000
```